DFT (GGA-PBE) results for a relaxed LiTlPb2 crystal.

Calculated values
Calculated density in g/cm3: 9.15
Formation enthalpy at 0 K in kJ/mol of formula units: -38
Spin magnetization in μB per cell: 0.00

a b c (Å): 5.4361 5.4361 5.4361
angles (deg): 60.00 60.00 60.00
Last column: nearest neighbours and their distance in Å.
Sites, in units of the cell vectors:
Li 0.0000 0.0000 0.0000  4 Tl 3.33, 4 Pb 3.33
Tl 0.7500 0.7500 0.7500  4 Pb 3.33, 4 Li 3.33
Pb 0.2500 0.2500 0.2500  4 Pb 3.33, 4 Li 3.33
Pb 0.5000 0.5000 0.5000  4 Tl 3.33, 4 Pb 3.33